[1]
A plane-wave DFT calculation with GGA-PBE was carried out for a relaxed Zn2SiAg crystal.

```
Zn2SiAg
1.0
-2.9941 2.0275 3.3746
-4.6923 0.0139 -1.5639
3.4487 -3.5362 0.2559
Ag Zn Si
1 2 1
direct
0.5000 0.5000 0.0000
0.2500 0.7500 0.5000
0.0000 0.0000 0.0000
0.7500 0.2500 0.5000
```

Output
symmetry: I-4m2 (119)
E_form (uncorrected): 0.189 eV/atom


[2]
A plane-wave DFT calculation with GGA-PBE was carried out for a relaxed ZrInRe4 crystal.

```
ZrInRe4
1.0
3.5134 0.2441 3.9533
-0.1689 4.0146 3.4477
-1.5614 -0.8564 4.9860
Re Zr In
4 1 1
direct
0.8761 0.3746 0.3746
0.3746 0.3746 0.8761
0.3746 0.8761 0.3746
0.3746 0.3746 0.3746
0.7500 0.7500 0.7500
0.0000 0.0000 0.0000
```

Output
symmetry: F-43m (216)
total energy: -60.92 eV per formula unit


[3]
A plane-wave DFT calculation with GGA-PBE was carried out for a relaxed Zr2NpS4 crystal.

```
Zr2NpS4
1.0
3.6919 0.0000 0.0000
-1.8460 6.0900 0.0000
0.0000 0.0000 12.6480
S Np Zr
8 2 4
direct
0.2273 0.4546 0.8711
0.5000 0.0000 0.5000
0.0523 0.1046 0.2500
0.2273 0.4546 0.6289
0.7727 0.5454 0.1289
0.9477 0.8954 0.7500
0.7727 0.5454 0.3711
0.5000 0.0000 0.0000
0.6134 0.2268 0.7500
0.3866 0.7732 0.2500
0.8564 0.7129 0.9409
0.1436 0.2871 0.0591
0.1436 0.2871 0.4409
0.8564 0.7129 0.5591
```

Output
symmetry: Cmcm (63)
E_form (uncorrected): -1.444 eV/atom


[4]
A plane-wave DFT calculation with GGA-PBE was carried out for a relaxed Sr2Zn2Tc crystal.

```
Sr2Zn2Tc
1.0
-2.7347 -3.5299 4.2015
0.8146 -4.9035 -3.5894
2.3802 -4.8586 1.9409
Tc Zn Sr
1 2 2
direct
0.0000 0.0000 0.0000
0.3371 0.3371 0.3258
0.6629 0.6629 0.6742
0.2500 0.7500 0.5000
0.7500 0.2500 0.5000
```

Output
symmetry: I4/mmm (139)
energy above the most stable polymorph in this dataset: 148.1 meV/atom